4
Lattice="5.256 0.000 0.000 2.628 4.552 0.000 2.628 1.517 4.292" Properties=species:S:1:pos:R:3 comment="AcNdCuPd | the Alexandria database | GGA-PBE | optimized geometry" e_tot_ev_per_atom=-4.931 de_polymorph_mev_per_atom=83.4 ef_mev_per_atom=-390 m_tot_mub_per_fu=0.00 pbc="T T T"
Ac 0.000 0.000 0.000
Nd 5.256 3.035 2.146
Cu 2.628 1.517 1.073
Pd 7.884 4.552 3.219